[1]
Compound: Pm8Nd4Pu
Source: the Alexandria database
Functional: PBE
Structure: relaxed

Summary:
* energy of formation: 0.509 eV/atom
* density: 6.68 g cm⁻³
* DFT total energy: -4.98 eV per atom
* V: 37.900 Å³ per atom

Cell and atoms, written as CIF:
```
data_Pm8Nd4Pu
_cell_length_a 11.1842
_cell_length_b 11.1842
_cell_length_c 13.6448
_cell_angle_alpha 90.00
_cell_angle_beta 90.00
_cell_angle_gamma 120.00
_space_group_name_H-M_alt 'R -3 m'
_space_group_IT_number 166
_space_group_name_Hall '-R 3 2"'
loop_
_atom_site_label
_atom_site_type_symbol
_atom_site_fract_x
_atom_site_fract_y
_atom_site_fract_z
_atom_site_occupancy
Pm1 Pm 0.0000 0.0000 0.2425 1
Pm2 Pm 0.0097 0.5049 0.7468 1
Nd1 Nd 0.0000 0.0000 0.0000 1
Nd2 Nd 0.0000 0.5000 0.0000 1
Pu1 Pu 0.0000 0.0000 0.5000 1
```

[2]
Compound: Pm6Nd2Pu
Source: the Alexandria database
Functional: PBE
Structure: relaxed

Summary:
* energy of formation: 0.059 eV/atom
* density: 7.64 g cm⁻³
* DFT total energy: -5.76 eV per atom
* V: 33.884 Å³ per atom

Cell and atoms, written as CIF:
```
data_Pm6Nd2Pu
_cell_length_a 10.898
_cell_length_b 10.898
_cell_length_c 5.135
_cell_angle_alpha 90.00
_cell_angle_beta 90.00
_cell_angle_gamma 90.00
_space_group_name_H-M_alt 'P 42/m n m'
_space_group_IT_number 136
_space_group_name_Hall '-P 4n 2n'
loop_
_atom_site_label
_atom_site_type_symbol
_atom_site_fract_x
_atom_site_fract_y
_atom_site_fract_z
_atom_site_occupancy
Pm1 Pm 0.000 0.330 0.000 1
Pm2 Pm 0.165 0.165 0.500 1
Nd1 Nd 0.164 0.836 0.500 1
Pu1 Pu 0.000 0.000 0.000 1
```

[3]
Compound: Pm12Nd3Pu
Source: the Alexandria database
Functional: PBE
Structure: relaxed

Summary:
* energy of formation: 0.043 eV/atom
* density: 7.35 g cm⁻³
* DFT total energy: -5.31 eV per atom
* V: 34.129 Å³ per atom

Cell and atoms, written as CIF:
```
data_Pm12Nd3Pu
_cell_length_a 5.153
_cell_length_b 5.153
_cell_length_c 20.562
_cell_angle_alpha 90.00
_cell_angle_beta 90.00
_cell_angle_gamma 90.00
_space_group_name_H-M_alt 'P 4/m m m'
_space_group_IT_number 123
_space_group_name_Hall '-P 4 2'
loop_
_atom_site_label
_atom_site_type_symbol
_atom_site_fract_x
_atom_site_fract_y
_atom_site_fract_z
_atom_site_occupancy
Pm1 Pm 0.000 0.000 0.000 1
Pm2 Pm 0.000 0.000 0.247 1
Pm3 Pm 0.000 0.000 0.500 1
Pm4 Pm 0.000 0.500 0.120 1
Pm5 Pm 0.000 0.500 0.373 1
Nd1 Nd 0.500 0.500 0.248 1
Nd2 Nd 0.500 0.500 0.500 1
Pu1 Pu 0.500 0.500 0.000 1
```

[4]
Compound: Pm3Nd8Pu
Source: the Alexandria database
Functional: PBE
Structure: relaxed

Summary:
* energy of formation: 0.513 eV/atom
* density: 6.74 g cm⁻³
* DFT total energy: -5.05 eV per atom
* V: 37.633 Å³ per atom

Cell and atoms, written as CIF:
```
data_Pm3Nd8Pu
_cell_length_a 8.818
_cell_length_b 8.818
_cell_length_c 11.615
_cell_angle_alpha 90.00
_cell_angle_beta 90.00
_cell_angle_gamma 90.00
_space_group_name_H-M_alt 'I -4 2 m'
_space_group_IT_number 121
_space_group_name_Hall 'I -4 2'
loop_
_atom_site_label
_atom_site_type_symbol
_atom_site_fract_x
_atom_site_fract_y
_atom_site_fract_z
_atom_site_occupancy
Pm1 Pm 0.000 0.000 0.000 1
Pm2 Pm 0.000 0.500 0.250 1
Nd1 Nd 0.124 0.124 0.263 1
Nd2 Nd 0.235 0.235 0.523 1
Pu1 Pu 0.000 0.000 0.500 1
```

[5]
Compound: Pm2NdPu
Source: the Alexandria database
Functional: PBE
Structure: relaxed

Summary:
* energy of formation: 0.125 eV/atom
* density: 8.50 g cm⁻³
* DFT total energy: -7.02 eV per atom
* V: 33.127 Å³ per atom

Cell and atoms, written as CIF:
```
data_Pm2NdPu
_cell_length_a 3.6178
_cell_length_b 3.6178
_cell_length_c 35.0705
_cell_angle_alpha 90.00
_cell_angle_beta 90.00
_cell_angle_gamma 120.00
_space_group_name_H-M_alt 'R 3 m'
_space_group_IT_number 160
_space_group_name_Hall 'R 3 -2"'
loop_
_atom_site_label
_atom_site_type_symbol
_atom_site_fract_x
_atom_site_fract_y
_atom_site_fract_z
_atom_site_occupancy
Pm1 Pm 0.0000 0.0000 0.0000 1
Pm2 Pm 0.0000 0.0000 0.1720 1
Nd1 Nd 0.0000 0.0000 0.4196 1
Pu1 Pu 0.0000 0.0000 0.5859 1
```

[6]
Compound: PmNdPu
Source: the Alexandria database
Functional: PBE
Structure: relaxed

Summary:
* energy of formation: 0.945 eV/atom
* density: 5.89 g cm⁻³
* DFT total energy: -7.01 eV per atom
* V: 50.121 Å³ per atom

Cell and atoms, written as CIF:
```
data_PmNdPu
_cell_length_a 3.654
_cell_length_b 17.533
_cell_length_c 9.417
_cell_angle_alpha 90.00
_cell_angle_beta 94.49
_cell_angle_gamma 90.00
_space_group_name_H-M_alt 'C 1 2/m 1'
_space_group_IT_number 12
_space_group_name_Hall '-C 2y'
loop_
_atom_site_label
_atom_site_type_symbol
_atom_site_fract_x
_atom_site_fract_y
_atom_site_fract_z
_atom_site_occupancy
Pm1 Pm 0.000 0.153 0.000 1
Nd1 Nd 0.205 0.000 0.332 1
Pu1 Pu 0.235 0.000 0.928 1
```